Entry 1:
VASP calculation (GGA-PBE) on a relaxed Rb2TlSiF6 crystal.

Geometry as CIF:
```
data_Rb2TlSiF6
_chemical_formula_sum 'Rb4 Tl2 Si2 F12'
_symmetry_space_group_name_H-M 'P 1'
_symmetry_Int_Tables_number 1
_symmetry_space_group_name_Hall 'P 1'
_cell_length_a 6.742
_cell_length_b 6.742
_cell_length_c 11.128
_cell_angle_alpha 72.37
_cell_angle_beta 72.37
_cell_angle_gamma 60.00
loop_
_atom_site_label
_atom_site_fract_x
_atom_site_fract_y
_atom_site_fract_z
Rb1 0.862 0.862 0.414
Rb2 0.138 0.138 0.586
Rb3 0.733 0.733 0.801
Rb4 0.267 0.267 0.199
Tl1 0.601 0.601 0.196
Tl2 0.399 0.399 0.804
Si1 0.000 0.000 0.000
Si2 0.500 0.500 0.500
F1 0.854 0.383 0.381
F2 0.383 0.854 0.381
F3 0.383 0.383 0.381
F4 0.146 0.617 0.619
F5 0.617 0.146 0.619
F6 0.617 0.617 0.619
F7 0.793 0.151 0.904
F8 0.151 0.793 0.904
F9 0.151 0.151 0.904
F10 0.207 0.849 0.096
F11 0.849 0.207 0.096
F12 0.849 0.849 0.096
```

Properties
- Space group: R-3m
- Formation energy without anion corrections: -2443 kJ/mol of formula units
- Total magnetic moment: 0.00 μB per formula unit
- E above lowest polymorph: 66 meV per atom

---

Entry 2:
VASP calculation (GGA-PBE) on a relaxed CsMgGa2Pt crystal.

Geometry as CIF:
```
data_CsMgGa2Pt
_chemical_formula_sum 'Cs1 Mg1 Ga2 Pt1'
_symmetry_space_group_name_H-M 'P 1'
_symmetry_Int_Tables_number 1
_symmetry_space_group_name_Hall 'P 1'
_cell_length_a 4.993
_cell_length_b 4.993
_cell_length_c 5.247
_cell_angle_alpha 90.00
_cell_angle_beta 90.00
_cell_angle_gamma 90.00
loop_
_atom_site_label
_atom_site_fract_x
_atom_site_fract_y
_atom_site_fract_z
Cs1 0.500 0.500 0.500
Mg1 0.000 0.000 0.500
Ga1 0.000 0.500 0.000
Ga2 0.500 0.000 0.000
Pt1 0.000 0.000 0.000
```

Properties
- Space group: P4/mmm
- Total magnetic moment: 0.00 μB per formula unit
- E_form: -0.28 eV per atom

---

Entry 3:
VASP calculation (GGA-PBE) on a relaxed K2AlHgF6 crystal.

Geometry as CIF:
```
data_K2AlHgF6
_chemical_formula_sum 'K4 Al2 Hg2 F12'
_symmetry_space_group_name_H-M 'P 1'
_symmetry_Int_Tables_number 1
_symmetry_space_group_name_Hall 'P 1'
_cell_length_a 5.932
_cell_length_b 6.617
_cell_length_c 8.693
_cell_angle_alpha 90.00
_cell_angle_beta 90.00
_cell_angle_gamma 90.00
loop_
_atom_site_label
_atom_site_fract_x
_atom_site_fract_y
_atom_site_fract_z
K1 0.500 0.795 0.229
K2 0.000 0.205 0.729
K3 0.500 0.795 0.771
K4 0.000 0.205 0.271
Al1 0.500 0.209 0.500
Al2 0.000 0.791 0.000
Hg1 0.000 0.702 0.500
Hg2 0.500 0.298 0.000
F1 0.500 0.202 0.288
F2 0.500 0.202 0.712
F3 0.000 0.798 0.212
F4 0.000 0.798 0.788
F5 0.282 0.009 0.500
F6 0.718 0.009 0.500
F7 0.276 0.398 0.500
F8 0.724 0.398 0.500
F9 0.776 0.602 0.000
F10 0.224 0.602 0.000
F11 0.218 0.991 0.000
F12 0.782 0.991 0.000
```

Properties
- Space group: Pmmn
- Formation energy without anion corrections: -2615 kJ/mol of formula units
- Total magnetic moment: 0.59 μB per formula unit
- E above lowest polymorph: 0 meV per atom

---

Entry 4:
VASP calculation (GGA-PBE) on a relaxed HoAg7F12 crystal.

Geometry as CIF:
```
data_HoAg7F12
_chemical_formula_sum 'Ho1 Ag7 F12'
_symmetry_space_group_name_H-M 'P 1'
_symmetry_Int_Tables_number 1
_symmetry_space_group_name_Hall 'P 1'
_cell_length_a 6.739
_cell_length_b 7.838
_cell_length_c 7.838
_cell_angle_alpha 67.87
_cell_angle_beta 73.34
_cell_angle_gamma 106.66
loop_
_atom_site_label
_atom_site_fract_x
_atom_site_fract_y
_atom_site_fract_z
Ho1 0.000 0.000 0.000
Ag1 0.122 0.441 0.139
Ag2 0.739 0.861 0.580
Ag3 0.319 0.580 0.559
Ag4 0.500 0.000 0.000
Ag5 0.681 0.420 0.441
Ag6 0.261 0.139 0.420
Ag7 0.878 0.559 0.861
F1 0.674 0.348 0.191
F2 0.135 0.809 0.538
F3 0.213 0.149 0.114
F4 0.674 0.886 0.263
F5 0.673 0.538 0.652
F6 0.936 0.263 0.851
F7 0.064 0.737 0.149
F8 0.327 0.462 0.348
F9 0.326 0.114 0.737
F10 0.787 0.851 0.886
F11 0.865 0.191 0.462
F12 0.326 0.652 0.809
```

Properties
- Space group: R-3
- Formation energy without anion corrections: -3076 kJ/mol of formula units
- Total magnetic moment: 1.37 μB per formula unit